(1)
{
  "formula": "K5Sb2Pb",
  "functional": "PBE-GGA",
  "state": "relaxed",
  "lattice": [[5.7358, 0.0000, 1.8152], [2.5807, 5.1224, 1.8152], [-0.3972, -0.2447, 11.2249]],
  "species": ["K", "K", "K", "K", "K", "Sb", "Sb", "Pb"],
  "frac_coords": [[0.5000, 0.5000, 0.5000], [0.3784, 0.3784, 0.8649], [0.6216, 0.6216, 0.1351], [0.2193, 0.2193, 0.3422], [0.7807, 0.7807, 0.6578], [0.0990, 0.0990, 0.7030], [0.9010, 0.9010, 0.2970], [0.0000, 0.0000, 0.0000]],
  "energy_ev_per_atom": -2.448,
  "mass_density_g_cm3": 3.2,
  "e_form_raw_ev_per_atom": -0.2682,
  "m_tot_mub_per_atom": 0.000
}

---

(2)
{
  "formula": "K2SbPb",
  "functional": "PBE-GGA",
  "state": "relaxed",
  "lattice": [[2.8890, -5.1111, -0.0088], [-2.8686, -4.9954, 1.1339], [-0.9310, -3.8908, -4.2970]],
  "species": ["Pb", "Sb", "K", "K"],
  "frac_coords": [[0.5000, 0.5000, 0.5000], [0.0000, 0.0000, 0.0000], [0.2500, 0.2500, 0.2500], [0.7500, 0.7500, 0.7500]],
  "energy_ev_per_atom": -2.582,
  "mass_density_g_cm3": 4.7,
  "e_form_raw_ev_per_atom": -0.0758,
  "m_tot_mub_per_atom": 0.000
}

---

(3)
{
  "formula": "K3Sb4Pb4",
  "functional": "PBE-GGA",
  "state": "relaxed",
  "lattice": [[5.4331, 0.0000, -1.3515], [-1.0519, 7.4880, -4.2289], [-0.4492, 0.4543, 9.7908]],
  "species": ["K", "K", "K", "Sb", "Sb", "Sb", "Sb", "Pb", "Pb", "Pb", "Pb"],
  "frac_coords": [[0.1166, 0.1166, 0.2331], [0.8834, 0.8834, 0.7669], [0.0000, 0.5000, 0.0000], [0.2177, 0.7177, 0.4355], [0.7823, 0.2823, 0.5645], [0.5000, 0.8299, 0.0000], [0.5000, 0.1701, 0.0000], [0.3261, 0.1272, 0.6521], [0.6739, 0.4751, 0.3479], [0.6739, 0.8728, 0.3479], [0.3261, 0.5249, 0.6521]],
  "energy_ev_per_atom": -3.353,
  "mass_density_g_cm3": 5.9,
  "e_form_raw_ev_per_atom": -0.2066,
  "m_tot_mub_per_atom": 0.000
}

---

(4)
{
  "formula": "K2Sb4Pb5",
  "functional": "PBE-GGA",
  "state": "relaxed",
  "lattice": [[-5.7760, 2.2506, 2.7159], [-6.9736, -3.5562, -3.4517], [-2.5997, -4.8059, 6.8863]],
  "species": ["K", "K", "Sb", "Sb", "Sb", "Sb", "Pb", "Pb", "Pb", "Pb", "Pb"],
  "frac_coords": [[0.8374, 0.0000, 0.3252], [0.1626, 0.0000, 0.6748], [0.5080, 0.2623, 0.7216], [0.4920, 0.7377, 0.2784], [0.2297, 0.2623, 0.2784], [0.7703, 0.7377, 0.7216], [0.5000, 0.0000, 0.0000], [0.0000, 0.5000, 0.0000], [0.5000, 0.5000, 0.0000], [0.2500, 0.5000, 0.5000], [0.7500, 0.5000, 0.5000]],
  "energy_ev_per_atom": -3.448,
  "mass_density_g_cm3": 6.2,
  "e_form_raw_ev_per_atom": -0.0639,
  "m_tot_mub_per_atom": 0.000
}

---

(5)
{
  "formula": "KSbPb",
  "functional": "PBE-GGA",
  "state": "relaxed",
  "lattice": [[5.3889, 0.0000, 0.0000], [2.6944, 4.6669, 0.0000], [2.6944, 1.5556, 4.4000]],
  "species": ["K", "Pb", "Sb"],
  "frac_coords": [[0.7500, 0.7500, 0.7500], [0.0000, 0.0000, 0.0000], [0.5000, 0.5000, 0.5000]],
  "energy_ev_per_atom": -2.753,
  "mass_density_g_cm3": 5.5,
  "e_form_raw_ev_per_atom": 0.2226,
  "m_tot_mub_per_atom": 0.000
}

---

(6)
{
  "formula": "KSbPb2",
  "functional": "PBE-GGA",
  "state": "relaxed",
  "lattice": [[5.7581, -0.3469, 0.1574], [4.4006, 3.7298, 0.1574], [1.3404, 0.4464, 6.1150]],
  "species": ["K", "Pb", "Pb", "Sb"],
  "frac_coords": [[0.7500, 0.7500, 0.7500], [0.9805, 0.9805, 0.0652], [0.5195, 0.5195, 0.4348], [0.2500, 0.2500, 0.2500]],
  "energy_ev_per_atom": -3.272,
  "mass_density_g_cm3": 6.8,
  "e_form_raw_ev_per_atom": -0.1126,
  "m_tot_mub_per_atom": 0.000
}